No. 1
Density functional theory data (PBE-GGA) for MnBeH after structural relaxation.

Calculated values
Space group ... Cm (8)

abc: 8.7430 2.5408 4.1329
angles: 90.00 106.44 90.00
Closest atoms and distances in Å follow each position.
Element x y z (fractional)
Mn: 0.0000 0.0000 0.0000  4 H 1.72-1.84
Mn: 0.2075 0.0000 0.6309  3 H 1.81-1.85
Mn: 0.5000 0.5000 0.0000  4 H 1.72-1.84
Mn: 0.7075 0.5000 0.6309  3 H 1.81-1.85
Be: 0.2465 0.5000 0.1831  1 H 1.65
Be: 0.4544 0.0000 0.4639  2 H 1.67-1.79
Be: 0.7465 0.0000 0.1831  1 H 1.65
Be: 0.9544 0.5000 0.4639  2 H 1.67-1.79
H: 0.1048 0.5000 0.8200  2 Be 1.65-1.67, 4 Mn 1.84-1.85
H: 0.3692 0.0000 0.0163  3 Mn 1.72-1.81, 3 Be 1.79-1.91
H: 0.6048 0.0000 0.8200  2 Be 1.65-1.67, 4 Mn 1.84-1.85
H: 0.8692 0.5000 0.0163  3 Mn 1.72-1.81, 3 Be 1.79-1.91

No. 2
Density functional theory data (PBE-GGA) for MnBe2H after structural relaxation.

Calculated values
E above lowest polymorph ... 0.1091 eV/atom
Space group ... I4_1/amd (141)

abc: 4.3642 4.3642 6.1489
angles: 90.00 90.00 90.00
Closest atoms and distances in Å follow each position.
Element x y z (fractional)
Mn: 0.0000 0.2500 0.3750  12 Be 2.55-2.56, 4 H 2.67, 4 Mn 2.67
Mn: 0.0000 0.7500 0.6250  12 Be 2.55-2.56, 4 H 2.67, 4 Mn 2.67
Mn: 0.5000 0.2500 0.1250  12 Be 2.55-2.56, 4 Mn 2.67, 4 H 2.67
Mn: 0.5000 0.7500 0.8750  12 Be 2.55-2.56, 4 Mn 2.67, 4 H 2.67
Be: 0.0000 0.0000 0.0000  2 H 1.33
Be: 0.0000 0.5000 0.0000  2 H 1.33
Be: 0.2500 0.2500 0.7500  2 H 1.33
Be: 0.2500 0.7500 0.2500  2 H 1.33
Be: 0.5000 0.0000 0.5000  2 H 1.33
Be: 0.5000 0.5000 0.5000  2 H 1.33
Be: 0.7500 0.2500 0.7500  2 H 1.33
Be: 0.7500 0.7500 0.2500  2 H 1.33
H: 0.0000 0.2500 0.8750  4 Be 1.33
H: 0.0000 0.7500 0.1250  4 Be 1.33
H: 0.5000 0.2500 0.6250  4 Be 1.33
H: 0.5000 0.7500 0.3750  4 Be 1.33

No. 3
Density functional theory data (PBE-GGA) for MnBe2H after structural relaxation.

Calculated values
E above lowest polymorph ... 0.0000 eV/atom
Space group ... R-3m (166)

abc: 2.5010 2.5010 19.3825
angles: 90.00 90.00 120.00
Closest atoms and distances in Å follow each position.
Element x y z (fractional)
Mn: 0.0000 0.0000 0.0000  6 Be 2.31, 6 Mn 2.50
Mn: 0.3333 0.6667 0.6667  6 Be 2.31, 6 Mn 2.50
Mn: 0.6667 0.3333 0.3333  6 Be 2.31, 6 Mn 2.50
Be: 0.0000 0.0000 0.4262  1 H 1.43
Be: 0.0000 0.0000 0.5738  1 H 1.43
Be: 0.3333 0.6667 0.0929  1 H 1.43
Be: 0.3333 0.6667 0.2405  1 H 1.43
Be: 0.6667 0.3333 0.7595  1 H 1.43
Be: 0.6667 0.3333 0.9071  1 H 1.43
H: 0.0000 0.0000 0.5000  2 Be 1.43
H: 0.3333 0.6667 0.1667  2 Be 1.43
H: 0.6667 0.3333 0.8333  2 Be 1.43

No. 4
Density functional theory data (PBE-GGA) for MnBeH2 after structural relaxation.

Calculated values
E above lowest polymorph ... 0.2491 eV/atom
Space group ... Fm-3m (225)

abc: 4.5946 4.5946 4.5946
angles: 90.00 90.00 90.00
Closest atoms and distances in Å follow each position.
Element x y z (fractional)
Mn: 0.0000 0.0000 0.0000  8 H 1.99
Mn: 0.0000 0.5000 0.5000  8 H 1.99
Mn: 0.5000 0.0000 0.5000  8 H 1.99
Mn: 0.5000 0.5000 0.0000  8 H 1.99
Be: 0.0000 0.0000 0.5000  8 H 1.99
Be: 0.0000 0.5000 0.0000  8 H 1.99
Be: 0.5000 0.0000 0.0000  8 H 1.99
Be: 0.5000 0.5000 0.5000  8 H 1.99
H: 0.2500 0.2500 0.2500  4 Be 1.99, 4 Mn 1.99
H: 0.2500 0.2500 0.7500  4 Mn 1.99, 4 Be 1.99
H: 0.2500 0.7500 0.2500  4 Mn 1.99, 4 Be 1.99
H: 0.2500 0.7500 0.7500  4 Be 1.99, 4 Mn 1.99
H: 0.7500 0.2500 0.2500  4 Mn 1.99, 4 Be 1.99
H: 0.7500 0.2500 0.7500  4 Be 1.99, 4 Mn 1.99
H: 0.7500 0.7500 0.2500  4 Be 1.99, 4 Mn 1.99
H: 0.7500 0.7500 0.7500  4 Mn 1.99, 4 Be 1.99

No. 5
Density functional theory data (PBE-GGA) for MnBeMoH2 after structural relaxation.

Calculated values
Space group ... P4/mmm (123)

abc: 3.3336 3.3336 4.3716
angles: 90.00 90.00 90.00
Closest atoms and distances in Å follow each position.
Element x y z (fractional)
Mn: 0.0000 0.0000 0.0000  2 Be 2.19, 4 Mo 2.36
Be: 0.0000 0.0000 0.5000  4 H 1.67
Mo: 0.5000 0.5000 0.0000  4 Mn 2.36
H: 0.0000 0.5000 0.5000  2 Be 1.67
H: 0.5000 0.0000 0.5000  2 Be 1.67

No. 6
Density functional theory data (PBE-GGA) for MnBe2HN after structural relaxation.

Calculated values
Space group ... P4/mmm (123)

abc: 3.0949 3.0949 5.6148
angles: 90.00 90.00 90.00
Closest atoms and distances in Å follow each position.
Element x y z (fractional)
Mn: 0.0000 0.0000 0.0000  4 H 2.19
Be: 0.0000 0.5000 0.5000  2 N 1.55
Be: 0.5000 0.0000 0.5000  2 N 1.55
H: 0.5000 0.5000 0.0000  4 Mn 2.19
N: 0.5000 0.5000 0.5000  4 Be 1.55

No. 7
Density functional theory data (PBE-GGA) for Na2MnBeH6 after structural relaxation.

Calculated values
Space group ... I4/mmm (139)

abc: 4.9040 4.9040 4.9040
angles: 120.05 120.05 89.92
Closest atoms and distances in Å follow each position.
Element x y z (fractional)
Na: 0.2500 0.7500 0.5000  12 H 2.45
Na: 0.7500 0.2500 0.5000  12 H 2.45
Mn: 0.0000 0.0000 0.0000  6 H 1.79-1.80
Be: 0.5000 0.5000 0.0000  6 H 1.66-1.68
H: 0.2583 0.2583 0.0000  1 Be 1.68, 1 Mn 1.79
H: 0.2599 0.2599 0.5198  1 Be 1.66, 1 Mn 1.80
H: 0.2599 0.7401 0.0000  1 Be 1.66, 1 Mn 1.80
H: 0.7401 0.2599 0.0000  1 Be 1.66, 1 Mn 1.80
H: 0.7401 0.7401 0.4802  1 Be 1.66, 1 Mn 1.80
H: 0.7417 0.7417 0.0000  1 Be 1.68, 1 Mn 1.79

No. 8
Density functional theory data (PBE-GGA) for Mn2BeNiH after structural relaxation.

Calculated values
E above lowest polymorph ... 0.0000 eV/atom
Space group ... P4/mmm (123)

abc: 3.6262 3.6262 3.4894
angles: 90.00 90.00 90.00
Closest atoms and distances in Å follow each position.
Element x y z (fractional)
Mn: 0.0000 0.5000 0.0000  2 H 1.81
Mn: 0.5000 0.0000 0.0000  2 H 1.81
Be: 0.0000 0.0000 0.5000  8 Mn 2.52, 4 Ni 2.56
Ni: 0.5000 0.5000 0.5000  2 H 1.74
H: 0.5000 0.5000 0.0000  2 Ni 1.74, 4 Mn 1.81

No. 9
Density functional theory data (PBE-GGA) for Mn2BeNiH after structural relaxation.

Calculated values
E above lowest polymorph ... 0.0270 eV/atom
Space group ... P4/mmm (123)

abc: 3.5683 3.5683 3.5349
angles: 90.00 90.00 90.00
Closest atoms and distances in Å follow each position.
Element x y z (fractional)
Mn: 0.0000 0.5000 0.0000  2 H 1.78
Mn: 0.5000 0.0000 0.0000  2 H 1.78
Be: 0.0000 0.0000 0.5000  2 H 1.77
Ni: 0.5000 0.5000 0.5000  8 Mn 2.51, 4 Be 2.52
H: 0.0000 0.0000 0.0000  2 Be 1.77, 4 Mn 1.78

No. 10
Density functional theory data (PBE-GGA) for MnBe2NiH after structural relaxation.

Calculated values
Space group ... P4/mmm (123)

abc: 3.5397 3.5397 3.2569
angles: 90.00 90.00 90.00
Closest atoms and distances in Å follow each position.
Element x y z (fractional)
Mn: 0.0000 0.0000 0.0000  2 H 1.63
Be: 0.0000 0.5000 0.5000  2 H 1.77
Be: 0.5000 0.0000 0.5000  2 H 1.77
Ni: 0.5000 0.5000 0.0000  8 Be 2.41, 4 Mn 2.50
H: 0.0000 0.0000 0.5000  2 Mn 1.63, 4 Be 1.77

No. 11
Density functional theory data (PBE-GGA) for Mn2BeHOs after structural relaxation.

Calculated values
Space group ... P4/mmm (123)

abc: 3.5517 3.5517 3.8599
angles: 90.00 90.00 90.00
Closest atoms and distances in Å follow each position.
Element x y z (fractional)
Mn: 0.0000 0.5000 0.0000  2 H 1.78
Mn: 0.5000 0.0000 0.0000  2 H 1.78
Be: 0.0000 0.0000 0.5000  2 H 1.93
H: 0.0000 0.0000 0.0000  4 Mn 1.78, 2 Be 1.93
Os: 0.5000 0.5000 0.5000  4 Be 2.51, 8 Mn 2.62

No. 12
Density functional theory data (PBE-GGA) for Mn2BeHPd after structural relaxation.

Calculated values
Space group ... P4/mmm (123)

abc: 3.5908 3.5908 3.9216
angles: 90.00 90.00 90.00
Closest atoms and distances in Å follow each position.
Element x y z (fractional)
Mn: 0.0000 0.5000 0.0000  2 H 1.80
Mn: 0.5000 0.0000 0.0000  2 H 1.80
Be: 0.0000 0.0000 0.5000  2 H 1.96
H: 0.0000 0.0000 0.0000  4 Mn 1.80, 2 Be 1.96
Pd: 0.5000 0.5000 0.5000  4 Be 2.54, 8 Mn 2.66

No. 13
Density functional theory data (PBE-GGA) for MnBe2HPt after structural relaxation.

Calculated values
Space group ... P4/mmm (123)

abc: 3.7774 3.7774 3.2361
angles: 90.00 90.00 90.00
Closest atoms and distances in Å follow each position.
Element x y z (fractional)
Mn: 0.0000 0.0000 0.0000  2 H 1.62
Be: 0.0000 0.5000 0.5000  2 H 1.89
Be: 0.5000 0.0000 0.5000  2 H 1.89
H: 0.0000 0.0000 0.5000  2 Mn 1.62
Pt: 0.5000 0.5000 0.0000  8 Be 2.49, 4 Mn 2.67

| no. | density (g cm⁻³) | calculated total energy (eV per atom) |
| --- | --- | --- |
| 1 | 4.9 | -5.390 |
| 2 | 4.2 | -4.674 |
| 3 | 3.5 | -4.784 |
| 4 | 4.5 | -4.533 |
| 5 | 5.5 | -5.153 |
| 6 | 2.7 | -5.475 |
| 7 | 2.3 | -3.576 |
| 8 | 6.5 | -6.249 |
| 9 | 6.6 | -6.222 |
| 10 | 5.4 | -5.214 |
| 11 | 10.6 | -7.246 |
| 12 | 7.4 | -6.125 |
| 13 | 9.7 | -5.457 |